Below is crystalline AlGaTcRh2 at its relaxed geometry, with properties calculated at the PBEsol level.

a = 4.5936 Å, b = 4.5936 Å, c = 4.6739 Å
α = 90.00°, β = 90.00°, γ = 90.00°
Last column: nearest neighbours and their distance in Å.
Sites, in units of the cell vectors:
Tc (0.0000, 0.0000, 0.0000)  4 Rh 2.30, 2 Ga 2.34
Ga (0.0000, 0.0000, 0.5000)  2 Tc 2.34
Rh (0.5000, 0.0000, 0.0000)  2 Tc 2.30
Rh (0.0000, 0.5000, 0.0000)  2 Tc 2.30
Al (0.5000, 0.5000, 0.5000)  4 Ga 3.25, 8 Rh 3.28

Results
space-group type = P4/mmm
mass density = 6.74 g cm⁻³
Fermi-level density of states = 0.939 states/eV/atom

Below is crystalline Al2GaRu2 at its relaxed geometry, with properties calculated at the PBEsol level.

a = 3.6739 Å, b = 3.6739 Å, c = 6.6074 Å
α = 106.14°, β = 106.14°, γ = 90.00°
Last column: nearest neighbours and their distance in Å.
Sites, in units of the cell vectors:
Al (0.6066, 0.6066, 0.2132)  4 Ru 2.53, 1 Al 2.59
Ru (0.2500, 0.7500, 0.5000)  4 Al 2.53, 4 Ru 2.60
Al (0.3934, 0.3934, 0.7868)  4 Ru 2.53, 1 Al 2.59
Ga (0.0000, 0.0000, 0.0000)  8 Al 2.90
Ru (0.7500, 0.2500, 0.5000)  4 Al 2.53, 4 Ru 2.60

Results
space-group type = I4/mmm
mass density = 6.60 g cm⁻³
Fermi-level density of states = 1.154 states/eV/atom

no.,DFT total energy (eV per atom),ΔE_f (eV per formula unit),total magnetic moment (μB per cell)
1,-5.99,5.0,0.0
2,-6.12,1.3,0.0